The following is a DFT calculation (SCAN) of a crystal of Sb3O7 relaxed with PBEsol.

CIF file:
```
data_Sb3O7
_cell_length_a 7.204
_cell_length_b 7.253
_cell_length_c 10.485
_cell_angle_alpha 90.00
_cell_angle_beta 90.00
_cell_angle_gamma 90.00
_symmetry_space_group_name_H-M 'I m m a'
_symmetry_Int_Tables_number 74
_symmetry_space_group_name_Hall '-I 2b 2'
loop_
_atom_site_label
_atom_site_type_symbol
_atom_site_fract_x
_atom_site_fract_y
_atom_site_fract_z
Sb1 Sb 0.000 0.000 0.000
Sb2 Sb 0.000 0.000 0.500
Sb3 Sb 0.250 0.250 0.250
O1 O 0.000 0.250 0.183
O2 O 0.000 0.250 0.568
O3 O 0.000 0.250 0.925
O4 O 0.218 0.055 0.383
```

The value obtained for the magnetic moment is 0.00 μB per atom. The calculation puts the uncorrected formation energy at -1.30 eV/atom. The crystal system is orthorhombic.